Density functional theory data (GGA-PBE) for a relaxed structure of BeAlTe2.

Results
E above lowest polymorph ... 36.5 kJ/mol of atoms
Total magnetization ... 0.000 μB/f.u.
Raw formation energy ... 6.64 kcal/mol of atoms
Density of states at the Fermi level ... 1.13 states/eV/f.u.

Unit cell a=3.775 b=3.810 c=8.052 alpha=90.00 beta=90.00 gamma=90.00
Element x y z (fractional)
Be: 0.000 0.000 0.000
Al: 0.000 0.500 0.500
Te: 0.500 0.000 0.500
Te: 0.500 0.500 0.000

Density functional theory data (GGA-PBE) for a relaxed structure of Er6Se8I.

Results
Total magnetization ... 0.000 μB/f.u.
Raw formation energy ... -38.76 kcal/mol of atoms
Density of states at the Fermi level ... 3.18 states/eV/f.u.

Unit cell a=11.121 b=11.121 c=4.145 alpha=90.00 beta=90.00 gamma=120.00
Element x y z (fractional)
Er: 0.139 0.472 0.253
Er: 0.333 0.861 0.253
Er: 0.472 0.333 0.747
Er: 0.528 0.667 0.253
Er: 0.667 0.139 0.747
Er: 0.861 0.528 0.747
Se: 0.047 0.670 0.246
Se: 0.330 0.378 0.246
Se: 0.333 0.667 0.751
Se: 0.378 0.047 0.754
Se: 0.622 0.953 0.246
Se: 0.667 0.333 0.249
Se: 0.670 0.622 0.754
Se: 0.953 0.330 0.754
I: 0.000 0.000 0.500

Density functional theory data (GGA-PBE) for a relaxed structure of K2CoTe.

Results
Total magnetization ... 2.102 μB/f.u.
Raw formation energy ... 6.22 kcal/mol of atoms
Density of states at the Fermi level ... 1.34 states/eV/f.u.

Unit cell a=6.275 b=6.275 c=3.402 alpha=90.00 beta=90.00 gamma=93.02
Element x y z (fractional)
K: 0.000 0.500 0.000
K: 0.500 0.000 0.000
Co: 0.000 0.000 0.500
Te: 0.500 0.500 0.500

Density functional theory data (GGA-PBE) for a relaxed structure of ZrTlPb.

Results
E above lowest polymorph ... 49.1 kJ/mol of atoms
Total magnetization ... 0.006 μB/f.u.
Density of states at the Fermi level ... 3.92 states/eV/f.u.

Unit cell a=5.045 b=5.045 c=5.045 alpha=60.00 beta=60.00 gamma=60.00
Element x y z (fractional)
Zr: 0.000 0.000 0.000
Tl: 0.250 0.250 0.250
Pb: 0.500 0.500 0.500

Density functional theory data (GGA-PBE) for a relaxed structure of FeIrSe.

Results
E above lowest polymorph ... 2.5 kJ/mol of atoms
Total magnetization ... 2.725 μB/f.u.
Raw formation energy ... 6.50 kcal/mol of atoms
Density of states at the Fermi level ... 1.59 states/eV/f.u.

Unit cell a=5.429 b=5.429 c=5.429 alpha=148.46 beta=148.46 gamma=45.21
Element x y z (fractional)
Fe: 0.000 0.000 0.000
Ir: 0.663 0.663 0.000
Se: 0.342 0.342 0.000

Density functional theory data (GGA-PBE) for a relaxed structure of Ga2Se4N.

Results
Total magnetization ... 0.000 μB/f.u.
Raw formation energy ... 10.92 kcal/mol of atoms
Density of states at the Fermi level ... 2.85 states/eV/f.u.

Unit cell a=7.756 b=7.756 c=7.756 alpha=148.01 beta=148.01 gamma=45.87
Element x y z (fractional)
Ga: 0.142 0.142 0.000
Ga: 0.858 0.858 0.000
Se: 0.000 0.500 0.500
Se: 0.316 0.316 0.000
Se: 0.500 0.000 0.500
Se: 0.684 0.684 0.000
N: 0.500 0.500 0.000

Density functional theory data (GGA-PBE) for a relaxed structure of TaTlW.

Results
E above lowest polymorph ... 0.0 kJ/mol of atoms
Total magnetization ... 0.000 μB/f.u.
Density of states at the Fermi level ... 2.46 states/eV/f.u.

Unit cell a=12.540 b=12.540 c=3.178 alpha=97.12 beta=97.12 gamma=14.56
Element x y z (fractional)
Ta: 0.000 0.000 0.000
Ta: 0.575 0.575 0.574
Tl: 0.288 0.288 0.283
Tl: 0.411 0.411 0.413
W: 0.142 0.142 0.137
W: 0.702 0.702 0.697

Density functional theory data (GGA-PBE) for a relaxed structure of LaRhW.

Results
E above lowest polymorph ... 24.9 kJ/mol of atoms
Total magnetization ... 0.019 μB/f.u.
Density of states at the Fermi level ... 4.28 states/eV/f.u.

Unit cell a=4.648 b=4.648 c=4.648 alpha=60.00 beta=60.00 gamma=60.00
Element x y z (fractional)
La: 0.000 0.000 0.000
Rh: 0.250 0.250 0.250
W: 0.500 0.500 0.500

Density functional theory data (GGA-PBE) for a relaxed structure of AlZn2Au7.

Results
E above lowest polymorph ... 0.0 kJ/mol of atoms
Total magnetization ... 0.000 μB/f.u.
Density of states at the Fermi level ... 2.47 states/eV/f.u.

Unit cell a=7.713 b=7.713 c=9.465 alpha=114.11 beta=114.11 gamma=42.75
Element x y z (fractional)
Al: 0.096 0.904 0.750
Al: 0.904 0.096 0.250
Zn: 0.242 0.350 0.676
Zn: 0.350 0.242 0.176
Zn: 0.650 0.758 0.824
Zn: 0.758 0.650 0.324
Au: 0.093 0.722 0.932
Au: 0.110 0.271 0.862
Au: 0.198 0.563 0.475
Au: 0.271 0.110 0.362
Au: 0.278 0.907 0.568
Au: 0.387 0.613 0.250
Au: 0.437 0.802 0.025
Au: 0.563 0.198 0.975
Au: 0.613 0.387 0.750
Au: 0.722 0.093 0.432
Au: 0.729 0.890 0.638
Au: 0.802 0.437 0.525
Au: 0.890 0.729 0.138
Au: 0.907 0.278 0.068

Density functional theory data (GGA-PBE) for a relaxed structure of Ba4PrRu3O12.

Results
Total magnetization ... 2.957 μB/f.u.
Raw formation energy ... -47.19 kcal/mol of atoms
Density of states at the Fermi level ... 9.79 states/eV/f.u.

Unit cell a=6.010 b=6.010 c=10.808 alpha=109.14 beta=109.14 gamma=59.95
Element x y z (fractional)
Ba: 0.129 0.129 0.391
Ba: 0.274 0.274 0.846
Ba: 0.726 0.726 0.154
Ba: 0.871 0.871 0.609
Pr: 0.000 0.000 0.000
Ru: 0.430 0.430 0.244
Ru: 0.500 0.500 0.500
Ru: 0.570 0.570 0.756
O: 0.155 0.616 0.364
O: 0.244 0.244 0.107
O: 0.256 0.725 0.153
O: 0.275 0.744 0.847
O: 0.376 0.376 0.604
O: 0.384 0.845 0.636
O: 0.616 0.155 0.364
O: 0.624 0.624 0.396
O: 0.725 0.256 0.153
O: 0.744 0.275 0.847
O: 0.756 0.756 0.893
O: 0.845 0.384 0.636

Density functional theory data (GGA-PBE) for a relaxed structure of FeAsPtSe2.

Results
E above lowest polymorph ... 0.0 kJ/mol of atoms
Total magnetization ... 0.001 μB/f.u.
Raw formation energy ... 14.46 kcal/mol of atoms
Density of states at the Fermi level ... 5.96 states/eV/f.u.

Unit cell a=4.645 b=4.645 c=4.394 alpha=90.00 beta=90.00 gamma=90.00
Element x y z (fractional)
Fe: 0.000 0.000 0.000
As: 0.000 0.000 0.500
Pt: 0.500 0.500 0.500
Se: 0.000 0.500 0.000
Se: 0.500 0.000 0.000

Density functional theory data (GGA-PBE) for a relaxed structure of NaSnBi.

Results
Total magnetization ... 0.000 μB/f.u.
Density of states at the Fermi level ... 1.11 states/eV/f.u.
Electronic total energy ... -3.209 eV per atom

Unit cell a=4.759 b=4.692 c=8.057 alpha=90.00 beta=107.01 gamma=90.00
Element x y z (fractional)
Na: 0.086 0.000 0.173
Na: 0.914 0.500 0.827
Sn: 0.245 0.501 0.494
Sn: 0.755 0.001 0.506
Bi: 0.424 0.000 0.843
Bi: 0.576 0.500 0.157

Density functional theory data (GGA-PBE) for a relaxed structure of Li2SmCu9.

Results
Total magnetization ... 0.000 μB/f.u.
Density of states at the Fermi level ... 5.00 states/eV/f.u.
Electronic total energy ... -3.901 eV per atom

Unit cell a=8.619 b=8.619 c=8.619 alpha=33.69 beta=33.69 gamma=33.69
Element x y z (fractional)
Li: 0.148 0.148 0.148
Li: 0.852 0.852 0.852
Sm: 0.000 0.000 0.000
Cu: 0.084 0.586 0.586
Cu: 0.333 0.333 0.333
Cu: 0.414 0.414 0.916
Cu: 0.414 0.916 0.414
Cu: 0.500 0.500 0.500
Cu: 0.586 0.084 0.586
Cu: 0.586 0.586 0.084
Cu: 0.667 0.667 0.667
Cu: 0.916 0.414 0.414

Density functional theory data (GGA-PBE) for a relaxed structure of Tb5Pm8Dy.

Results
Total magnetization ... 0.000 μB/f.u.
Density of states at the Fermi level ... 20.63 states/eV/f.u.
Electronic total energy ... -4.447 eV per atom

Unit cell a=8.555 b=8.555 c=8.555 alpha=111.07 beta=111.07 gamma=106.32
Element x y z (fractional)
Tb: 0.000 0.000 0.000
Tb: 0.318 0.633 0.099
Tb: 0.367 0.466 0.685
Tb: 0.534 0.219 0.901
Tb: 0.781 0.682 0.315
Pm: 0.027 0.422 0.257
Pm: 0.068 0.160 0.734
Pm: 0.166 0.770 0.743
Pm: 0.230 0.973 0.395
Pm: 0.425 0.333 0.266
Pm: 0.578 0.834 0.605
Pm: 0.667 0.932 0.092
Pm: 0.840 0.575 0.908
Dy: 0.750 0.250 0.500

Density functional theory data (GGA-PBE) for a relaxed structure of Tb2TlPd6.

Results
Total magnetization ... 0.000 μB/f.u.
Density of states at the Fermi level ... 3.94 states/eV/f.u.
Electronic total energy ... -5.194 eV per atom

Unit cell a=7.728 b=7.728 c=7.728 alpha=152.09 beta=115.41 gamma=71.77
Element x y z (fractional)
Tb: 0.161 0.161 0.000
Tb: 0.839 0.839 0.000
Tl: 0.500 0.500 0.000
Pd: 0.097 0.334 0.762
Pd: 0.245 0.000 0.245
Pd: 0.428 0.666 0.762
Pd: 0.572 0.334 0.238
Pd: 0.755 0.000 0.755
Pd: 0.903 0.666 0.238

Density functional theory data (GGA-PBE) for a relaxed structure of PmGdTm.

Results
E above lowest polymorph ... 0.0 kJ/mol of atoms
Total magnetization ... 7.345 μB/f.u.
Density of states at the Fermi level ... 4.93 states/eV/f.u.

Unit cell a=7.969 b=7.969 c=7.969 alpha=153.98 beta=153.98 gamma=37.13
Element x y z (fractional)
Pm: 0.000 0.000 0.000
Gd: 0.330 0.330 0.000
Tm: 0.664 0.664 0.000

Density functional theory data (GGA-PBE) for a relaxed structure of Tb5Sm3Sc2.

Results
Total magnetization ... 0.000 μB/f.u.
Density of states at the Fermi level ... 13.99 states/eV/f.u.
Electronic total energy ... -4.960 eV per atom

Unit cell a=9.304 b=9.308 c=9.319 alpha=106.61 beta=106.65 gamma=115.26
Element x y z (fractional)
Tb: 0.023 0.175 0.448
Tb: 0.130 0.880 0.250
Tb: 0.227 0.575 0.053
Tb: 0.379 0.628 0.750
Tb: 0.473 0.322 0.547
Tb: 0.527 0.678 0.453
Tb: 0.621 0.372 0.250
Tb: 0.773 0.425 0.947
Tb: 0.870 0.120 0.750
Tb: 0.977 0.825 0.552
Sm: 0.080 0.528 0.350
Sm: 0.274 0.926 0.953
Sm: 0.323 0.271 0.849
Sm: 0.677 0.729 0.151
Sm: 0.726 0.074 0.047
Sm: 0.920 0.472 0.650
Sc: 0.172 0.222 0.148
Sc: 0.428 0.977 0.646
Sc: 0.572 0.023 0.354
Sc: 0.828 0.778 0.852

Density functional theory data (GGA-PBE) for a relaxed structure of ZnCdRu2.

Results
Total magnetization ... 0.000 μB/f.u.
Density of states at the Fermi level ... 2.85 states/eV/f.u.
Electronic total energy ... -5.131 eV per atom

Unit cell a=2.845 b=2.845 c=7.811 alpha=90.00 beta=90.00 gamma=90.00
Element x y z (fractional)
Zn: 0.000 0.000 0.000
Cd: 0.500 0.500 0.291
Ru: 0.000 0.000 0.563
Ru: 0.500 0.500 0.769

Density functional theory data (GGA-PBE) for a relaxed structure of BeC2Cl2.

Results
E above lowest polymorph ... 0.0 kJ/mol of atoms
Total magnetization ... 0.199 μB/f.u.
Raw formation energy ... 14.78 kcal/mol of atoms
Density of states at the Fermi level ... 6.74 states/eV/f.u.

Unit cell a=6.146 b=6.146 c=6.146 alpha=97.82 beta=97.82 gamma=136.71
Element x y z (fractional)
Be: 0.000 0.000 0.000
C: 0.363 0.363 0.000
C: 0.637 0.637 0.000
Cl: 0.250 0.750 0.500
Cl: 0.750 0.250 0.500

Density functional theory data (GGA-PBE) for a relaxed structure of TlCrPb2.

Results
E above lowest polymorph ... 11.4 kJ/mol of atoms
Total magnetization ... 4.490 μB/f.u.
Density of states at the Fermi level ... 1.92 states/eV/f.u.

Unit cell a=5.773 b=5.773 c=5.773 alpha=130.67 beta=130.67 gamma=72.34
Element x y z (fractional)
Tl: 0.000 0.000 0.000
Cr: 0.250 0.750 0.500
Pb: 0.500 0.500 0.000
Pb: 0.750 0.250 0.500